# 1
Material: Tb7Nd4Sm
Method: DFT, PBE
State: relaxed

Values from the calculation:
- formation energy from the elements (kJ/mol of formula units) = 293
- distance to the lowest polymorph of the same formula (eV per atom) = 0.168
- total energy (eV/atom) = -4.431
- space-group type = C2/m

a b c (Å): 6.7692 6.7692 12.8798
angles (deg): 114.97 114.97 52.32
Last column: nearest neighbours and their distance in Å.
Element x y z (fractional)
Tb (0.0000, 0.0000, 0.0000)  2 Sm 2.98, 2 Tb 3.17
Tb (0.1317, 0.1317, 0.4970)  2 Tb 3.24-3.30, 5 Nd 3.31-3.58
Tb (0.2890, 0.2890, 0.0770)  1 Sm 3.15, 4 Tb 3.17-3.46, 4 Nd 3.35-3.41
Tb (0.4328, 0.4328, 0.6828)  4 Tb 3.30-3.63, 1 Nd 3.68
Tb (0.5672, 0.5672, 0.3172)  4 Tb 3.30-3.63, 1 Nd 3.68
Tb (0.7110, 0.7110, 0.9230)  1 Sm 3.15, 4 Tb 3.17-3.46, 4 Nd 3.35-3.41
Tb (0.8683, 0.8683, 0.5030)  2 Tb 3.24-3.30, 5 Nd 3.31-3.58
Nd (0.1371, 0.1371, 0.7770)  7 Tb 3.41-3.70, 2 Nd 3.67
Nd (0.2705, 0.2705, 0.3289)  5 Tb 3.31-3.68, 2 Nd 3.67
Nd (0.7295, 0.7295, 0.6711)  5 Tb 3.31-3.68, 2 Nd 3.67
Nd (0.8629, 0.8629, 0.2230)  7 Tb 3.41-3.70, 2 Nd 3.67
Sm (0.5000, 0.5000, 0.0000)  4 Tb 2.98-3.15


# 2
Material: Cs2AcTlO4
Method: DFT, PBE
State: relaxed

Values from the calculation:
- total energy (eV/atom) = -5.158
- space-group type = P2/m

a b c (Å): 6.4228 3.7942 7.3359
angles (deg): 90.00 108.07 90.00
Last column: nearest neighbours and their distance in Å.
Element x y z (fractional)
Cs (0.0000, 0.0000, 0.0000)  6 O 3.14-3.15
Cs (0.5000, 0.5000, 0.0000)  6 O 3.07-3.09
Ac (0.0000, 0.5000, 0.5000)  6 O 2.52-2.57
Tl (0.5000, 0.0000, 0.5000)  6 O 2.46-2.47
O (0.2320, 0.0000, 0.6798)  1 Tl 2.47, 2 Ac 2.52
O (0.2875, 0.5000, 0.3213)  2 Tl 2.46, 1 Ac 2.57
O (0.7125, 0.5000, 0.6787)  2 Tl 2.46, 1 Ac 2.57
O (0.7680, 0.0000, 0.3202)  1 Tl 2.47, 2 Ac 2.52


# 3
Material: Nb2Re2Mo15
Method: DFT, PBE
State: relaxed

Values from the calculation:
- formation energy from the elements (kJ/mol of formula units) = 550
- total energy (eV/atom) = -10.621
- space-group type = R-3m

a b c (Å): 6.9789 6.9789 6.9789
angles (deg): 78.61 78.61 78.61
Last column: nearest neighbours and their distance in Å.
Element x y z (fractional)
Nb (0.1766, 0.1766, 0.1766)  6 Mo 3.00
Nb (0.8234, 0.8234, 0.8234)  6 Mo 3.00
Re (0.4130, 0.4130, 0.4130)  1 Re 2.48
Re (0.5870, 0.5870, 0.5870)  1 Re 2.48
Mo (0.0000, 0.5000, 0.5000)  8 Mo 2.58-2.77, 2 Re 2.79
Mo (0.1590, 0.1590, 0.6686)  6 Mo 2.51-2.80
Mo (0.1590, 0.6686, 0.1590)  6 Mo 2.51-2.80
Mo (0.1776, 0.5000, 0.8224)  8 Mo 2.77-2.85, 2 Nb 3.00
Mo (0.1776, 0.8224, 0.5000)  8 Mo 2.77-2.85, 2 Nb 3.00
Mo (0.3314, 0.8410, 0.8410)  6 Mo 2.51-2.80
Mo (0.5000, 0.0000, 0.5000)  8 Mo 2.58-2.77, 2 Re 2.79
Mo (0.5000, 0.1776, 0.8224)  8 Mo 2.77-2.85, 2 Nb 3.00
Mo (0.5000, 0.5000, 0.0000)  8 Mo 2.58-2.77, 2 Re 2.79
Mo (0.5000, 0.8224, 0.1776)  8 Mo 2.77-2.85, 2 Nb 3.00
Mo (0.6686, 0.1590, 0.1590)  6 Mo 2.51-2.80
Mo (0.8224, 0.1776, 0.5000)  8 Mo 2.77-2.85, 2 Nb 3.00
Mo (0.8224, 0.5000, 0.1776)  8 Mo 2.77-2.85, 2 Nb 3.00
Mo (0.8410, 0.3314, 0.8410)  6 Mo 2.51-2.80
Mo (0.8410, 0.8410, 0.3314)  6 Mo 2.51-2.80


# 4
Material: ReTcAu2
Method: DFT, PBE
State: relaxed

Values from the calculation:
- formation energy from the elements (kJ/mol of formula units) = 208
- distance to the lowest polymorph of the same formula (eV per atom) = 0.405
- total energy (eV/atom) = -6.802
- space-group type = P4/mmm

a b c (Å): 3.8712 3.8712 4.2940
angles (deg): 90.00 90.00 90.00
Last column: nearest neighbours and their distance in Å.
Element x y z (fractional)
Re (0.0000, 0.0000, 0.0000)  4 Tc 2.74, 8 Au 2.89
Tc (0.5000, 0.5000, 0.0000)  4 Re 2.74, 8 Au 2.89
Au (0.0000, 0.5000, 0.5000)  4 Au 2.74, 4 Re 2.89, 4 Tc 2.89
Au (0.5000, 0.0000, 0.5000)  4 Au 2.74, 4 Re 2.89, 4 Tc 2.89


# 5
Material: LiCaTcN3
Method: DFT, PBE
State: relaxed

Values from the calculation:
- total energy (eV/atom) = -7.038
- space-group type = C2/c

a b c (Å): 5.8130 5.8130 5.1766
angles (deg): 96.95 96.95 122.23
Last column: nearest neighbours and their distance in Å.
Element x y z (fractional)
Li (0.0679, 0.9321, 0.7500)  5 N 2.08-2.14
Li (0.9321, 0.0679, 0.2500)  5 N 2.08-2.14
Ca (0.2326, 0.7674, 0.2500)  6 N 2.49-2.67
Ca (0.7674, 0.2326, 0.7500)  6 N 2.49-2.67
Tc (0.4522, 0.5478, 0.7500)  3 N 1.83-1.90
Tc (0.5478, 0.4522, 0.2500)  3 N 1.83-1.90
N (0.2029, 0.3150, 0.0127)  1 Tc 1.90, 1 Li 2.13
N (0.2727, 0.7273, 0.7500)  1 Tc 1.83
N (0.3150, 0.2029, 0.5127)  1 Tc 1.90, 1 Li 2.13
N (0.6850, 0.7971, 0.4873)  1 Tc 1.90, 1 Li 2.13
N (0.7273, 0.2727, 0.2500)  1 Tc 1.83
N (0.7971, 0.6850, 0.9873)  1 Tc 1.90, 1 Li 2.13


# 6
Material: TbNd4N5
Method: DFT, PBE
State: relaxed

Values from the calculation:
- total energy (eV/atom) = -7.942
- space-group type = I4

a b c (Å): 6.2690 6.2690 6.2690
angles (deg): 99.76 99.76 131.37
Last column: nearest neighbours and their distance in Å.
Element x y z (fractional)
Tb (0.0000, 0.0000, 0.0000)  5 N 2.40-2.51
Nd (0.1964, 0.5960, 0.8017)  6 N 2.50-2.67
Nd (0.3947, 0.1964, 0.6004)  6 N 2.50-2.67
Nd (0.5960, 0.7943, 0.3996)  6 N 2.50-2.67
Nd (0.7943, 0.3947, 0.1983)  6 N 2.50-2.67
N (0.0767, 0.2728, 0.3920)  5 Nd 2.50-2.67, 1 Tb 2.51
N (0.2728, 0.8809, 0.1961)  5 Nd 2.50-2.67, 1 Tb 2.51
N (0.4652, 0.4652, 0.0000)  1 Tb 2.40, 4 Nd 2.55
N (0.6847, 0.0767, 0.8039)  5 Nd 2.50-2.67, 1 Tb 2.51
N (0.8809, 0.6847, 0.6080)  5 Nd 2.50-2.67, 1 Tb 2.51